Cs3Na2PuBr8: optimized geometry, PBE-GGA.

Cell: 8.048 8.048 10.819 Å, 90.00 90.00 120.00°
Fractional coordinates of all 14 atoms:
Na (0.333, 0.667, 0.184)
Na (0.667, 0.333, 0.816)
Cs (0.333, 0.667, 0.622)
Cs (0.667, 0.333, 0.378)
Cs (0.000, 0.000, 0.000)
Br (0.163, 0.326, 0.339)
Br (0.333, 0.667, 0.936)
Br (0.667, 0.333, 0.064)
Br (0.163, 0.837, 0.339)
Br (0.837, 0.674, 0.661)
Br (0.326, 0.163, 0.661)
Br (0.674, 0.837, 0.339)
Br (0.837, 0.163, 0.661)
Pu (0.000, 0.000, 0.500)

Summary:
The calculation puts the formation energy from raw total energies at -1.607 eV per atom. As for the total DFT energy (no corrections): -3.96 eV per atom. The calculation puts the density of states at the Fermi level at 0.688 states/eV per atom.